Record 1
An optimized crystal structure of ZrTl4. Source: Alexandria via LeMat-Bulk, functional PBE.

Unit cell a=5.708 b=5.708 c=5.708 alpha=90.00 beta=90.00 gamma=90.00
Atoms (fractional coordinates):
Zr 0.000 0.000 0.000
Tl 0.000 0.000 0.500
Tl 0.000 0.500 0.000
Tl 0.500 0.000 0.000
Tl 0.500 0.500 0.500

## Properties
Excess energy over the best structure of this formula in the dataset, meV/atom: 225
Space group: Pm-3m

***

Record 2
An optimized crystal structure of ZrTl. Source: Alexandria via LeMat-Bulk, functional PBE.

Unit cell a=10.659 b=10.659 c=10.659 alpha=18.13 beta=18.13 gamma=18.13
Atoms (fractional coordinates):
Zr 0.129 0.129 0.129
Zr 0.871 0.871 0.871
Tl 0.378 0.378 0.378
Tl 0.622 0.622 0.622

## Properties
Space group: R-3m

***

Record 3
An optimized crystal structure of Zr3Tl2. Source: Alexandria via LeMat-Bulk, functional PBE.

Unit cell a=8.434 b=8.434 c=8.434 alpha=140.75 beta=140.75 gamma=56.72
Atoms (fractional coordinates):
Zr 0.000 0.000 0.000
Zr 0.000 0.000 0.500
Zr 0.000 0.500 0.000
Zr 0.375 0.625 0.750
Zr 0.500 0.000 0.500
Zr 0.625 0.375 0.250
Tl 0.180 0.430 0.750
Tl 0.430 0.180 0.250
Tl 0.570 0.820 0.750
Tl 0.820 0.570 0.250

## Properties
Excess energy over the best structure of this formula in the dataset, meV/atom: 70
Space group: I4_1/amd

***

Record 4
An optimized crystal structure of ZrTl3. Source: Alexandria via LeMat-Bulk, functional PBE.

Unit cell a=6.290 b=10.402 c=6.402 alpha=90.00 beta=90.00 gamma=90.00
Atoms (fractional coordinates):
Zr 0.127 0.250 0.133
Zr 0.373 0.750 0.633
Zr 0.627 0.250 0.367
Zr 0.873 0.750 0.867
Tl 0.034 0.250 0.639
Tl 0.207 0.517 0.871
Tl 0.207 0.983 0.871
Tl 0.293 0.017 0.371
Tl 0.293 0.483 0.371
Tl 0.466 0.750 0.139
Tl 0.534 0.250 0.861
Tl 0.707 0.517 0.629
Tl 0.707 0.983 0.629
Tl 0.793 0.017 0.129
Tl 0.793 0.483 0.129
Tl 0.966 0.750 0.361

## Properties
Space group: Pnma

***

The calculation returns the following energy of formation values, one per record and in order: 0.389 0.090 0.034 0.073 eV/atom.
The calculation returns the following size of the total moment values, one per record and in order: 0.00 0.00 0.00 0.00 μB/cell.